# 1
! K3NiBr8 (PBE, optimized geometry); values from VASP
! **Energy**: -2.5821 eV per atom
! **Energy relative to the elements, uncorrected**: -710.7 meV/atom
&SYSTEM
  ibrav = 0, nat = 12, ntyp = 3
/
ATOMIC_SPECIES
K 39.10 K.upf
Ni 58.69 Ni.upf
Br 79.90 Br.upf
CELL_PARAMETERS angstrom
-4.113 4.113 5.882
4.113 -4.113 5.882
4.113 4.113 -5.882
ATOMIC_POSITIONS crystal
K 0.000 0.000 0.000
K 0.250 0.750 0.500
K 0.750 0.250 0.500
Ni 0.500 0.500 0.000
Br 0.155 0.155 0.561
Br 0.155 0.594 0.000
Br 0.406 0.406 0.561
Br 0.406 0.845 0.000
Br 0.594 0.155 0.000
Br 0.594 0.594 0.439
Br 0.845 0.406 0.000
Br 0.845 0.845 0.439

# 2
! FeRe2Ru (PBE, optimized geometry); values from VASP
! **Energy**: -10.6726 eV per atom
! **Formation energy from the elements**: -0.01 eV per atom
&SYSTEM
  ibrav = 0, nat = 4, ntyp = 3
/
ATOMIC_SPECIES
Fe 55.84 Fe.upf
Re 186.21 Re.upf
Ru 101.07 Ru.upf
CELL_PARAMETERS angstrom
2.718 0.000 0.000
0.000 4.301 0.000
0.000 0.000 4.675
ATOMIC_POSITIONS crystal
Fe 0.000 0.000 0.000
Re 0.500 0.000 0.511
Re 0.500 0.500 0.852
Ru 0.000 0.500 0.340

# 3
! Mg14VMo (PBE, optimized geometry); values from VASP
! **Energy**: -2.4679 eV per atom
! **Formation energy from the elements**: 0.17 eV per atom
&SYSTEM
  ibrav = 0, nat = 16, ntyp = 3
/
ATOMIC_SPECIES
Mg 24.30 Mg.upf
V 50.94 V.upf
Mo 95.94 Mo.upf
CELL_PARAMETERS angstrom
6.254 0.000 0.000
-3.127 5.416 0.000
0.000 0.000 10.014
ATOMIC_POSITIONS crystal
Mg 0.000 0.000 0.249
Mg 0.000 0.000 0.751
Mg 0.015 0.508 0.256
Mg 0.015 0.508 0.744
Mg 0.335 0.167 0.500
Mg 0.337 0.169 0.000
Mg 0.492 0.508 0.256
Mg 0.492 0.508 0.744
Mg 0.492 0.985 0.256
Mg 0.492 0.985 0.744
Mg 0.831 0.169 0.000
Mg 0.831 0.663 0.000
Mg 0.833 0.167 0.500
Mg 0.833 0.665 0.500
V 0.333 0.667 0.000
Mo 0.333 0.667 0.500